First-principles (PBE) data for a relaxed structure of Pm12Dy7Zr, as listed in the Alexandria database.

Cell lengths 19.5654, 19.5654, 6.1630 Å; angles 90.00, 90.00, 120.00 degrees
Space group R-3 (No. 148, hexagonal axes)
Inequivalent atoms, fractional coordinates:
Pm  0.9998  0.4127  0.0001
Pm  0.0977  0.5486  0.4740
Dy  0.0000  0.0000  0.0000
Dy  0.0803  0.1612  0.3029
Zr  0.0000  0.0000  0.5000

Values from the calculation:
The formation energy comes out at 0.222 eV/atom. The calculation puts the spin magnetization at 0.0 μB/f.u.